(1)
The following is a GGA-PBE calculation of a relaxed TbAsN2O crystal, from the Open Quantum Materials Database.

a = 5.327 Å, b = 5.327 Å, c = 5.356 Å
α = 118.92°, β = 118.92°, γ = 90.13°
Atoms (fractional coordinates):
As 0.500 0.000 0.500
As 0.000 0.500 0.500
N 0.662 0.662 0.411
N 0.803 0.197 0.500
N 0.197 0.803 0.500
N 0.338 0.338 0.589
O 0.804 0.196 0.000
O 0.196 0.804 0.000
Tb 0.763 0.763 0.018
Tb 0.237 0.237 0.982

Properties
As for the symmetry: C2/m. The crystal system is monoclinic.

***

(2)
The following is a GGA-PBE calculation of a relaxed TbAsN2O crystal, from the Open Quantum Materials Database.

a = 5.459 Å, b = 5.478 Å, c = 9.255 Å
α = 103.83°, β = 90.69°, γ = 119.76°
Atoms (fractional coordinates):
As 0.762 0.483 0.268
As 0.433 0.971 0.513
As 0.148 0.380 0.707
As 0.058 0.057 0.993
N 0.830 0.200 0.122
N 0.420 0.365 0.139
N 0.165 0.675 0.339
N 0.586 0.264 0.400
N 0.325 0.618 0.587
N 0.193 0.087 0.600
N 0.758 0.226 0.670
N 0.143 0.378 0.906
O 0.988 0.803 0.115
O 0.724 0.802 0.375
O 0.719 0.764 0.870
O 0.253 0.912 0.882
Tb 0.400 0.775 0.124
Tb 0.129 0.224 0.346
Tb 0.789 0.678 0.621
Tb 0.677 0.337 0.923

Properties
As for the symmetry: P1. The crystal system is triclinic.

***

(3)
The following is a GGA-PBE calculation of a relaxed TbAsN2O crystal, from the Open Quantum Materials Database.

a = 5.239 Å, b = 5.409 Å, c = 5.666 Å
α = 94.28°, β = 111.98°, γ = 118.28°
Atoms (fractional coordinates):
As 0.352 0.223 0.476
As 0.684 0.841 0.522
N 0.454 0.019 0.290
N 0.239 0.475 0.330
N 0.154 0.140 0.701
N 0.753 0.562 0.716
O 0.736 0.755 0.224
O 0.636 0.002 0.791
Tb 0.727 0.357 0.098
Tb 0.265 0.627 0.852

Properties
As for the symmetry: P1. The crystal system is triclinic.

***

(4)
The following is a GGA-PBE calculation of a relaxed TbAsNO crystal, from the Open Quantum Materials Database.

a = 4.226 Å, b = 4.226 Å, c = 7.024 Å
α = 90.00°, β = 90.00°, γ = 90.00°
Atoms (fractional coordinates):
As 0.000 0.000 0.500
As 0.500 0.500 0.500
N 0.000 0.500 0.474
N 0.500 0.000 0.526
O 0.000 0.000 0.000
O 0.500 0.500 0.000
Tb 0.000 0.500 0.138
Tb 0.500 0.000 0.862

Properties
As for the symmetry: P4/nmm. The crystal system is tetragonal. Its energy above the lowest structure with this stoichiometry is 1.06 eV/f.u.

***

(5)
The following is a GGA-PBE calculation of a relaxed TbAsN2O crystal, from the Open Quantum Materials Database.

a = 3.781 Å, b = 3.781 Å, c = 3.815 Å
α = 90.00°, β = 90.00°, γ = 90.00°
Atoms (fractional coordinates):
As 0.500 0.500 0.500
N 0.500 0.000 0.500
N 0.000 0.500 0.500
O 0.500 0.500 0.000
Tb 0.000 0.000 0.000

Properties
As for the symmetry: P4/mmm. The crystal system is tetragonal.

***

(6)
The following is a GGA-PBE calculation of a relaxed TbAsN2O crystal, from the Open Quantum Materials Database.

a = 3.783 Å, b = 3.811 Å, c = 3.792 Å
α = 90.00°, β = 90.20°, γ = 90.00°
Atoms (fractional coordinates):
As 0.495 0.000 0.500
N 0.001 0.000 0.478
N 0.511 0.000 0.991
O 0.511 0.500 0.477
Tb 0.984 0.500 0.014

Properties
As for the symmetry: Pm. The crystal system is monoclinic.

***

(7)
The following is a GGA-PBE calculation of a relaxed TbAsN2O crystal, from the Open Quantum Materials Database.

a = 5.375 Å, b = 7.870 Å, c = 5.276 Å
α = 90.00°, β = 90.00°, γ = 90.00°
Atoms (fractional coordinates):
As 0.500 0.000 0.000
As 0.500 0.500 0.000
As 0.000 0.000 0.500
As 0.000 0.500 0.500
N 0.202 0.045 0.202
N 0.202 0.455 0.202
N 0.702 0.045 0.298
N 0.702 0.455 0.298
N 0.298 0.545 0.702
N 0.298 0.955 0.702
N 0.798 0.545 0.798
N 0.798 0.955 0.798
O 0.486 0.750 0.089
O 0.986 0.750 0.411
O 0.014 0.250 0.589
O 0.514 0.250 0.911
Tb 0.942 0.250 0.017
Tb 0.442 0.250 0.483
Tb 0.558 0.750 0.517
Tb 0.058 0.750 0.983

Properties
As for the symmetry: Pnma. The crystal system is orthorhombic.

***

(8)
The following is a GGA-PBE calculation of a relaxed TbAsNO crystal, from the Open Quantum Materials Database.

a = 3.978 Å, b = 5.943 Å, c = 6.002 Å
α = 90.00°, β = 90.00°, γ = 90.00°
Atoms (fractional coordinates):
As 0.000 0.580 0.334
As 0.000 0.080 0.666
N 0.000 0.900 0.412
N 0.000 0.400 0.588
O 0.500 0.303 0.101
O 0.500 0.803 0.899
Tb 0.500 0.971 0.205
Tb 0.500 0.471 0.795

Properties
As for the symmetry: Pmc2_1. The crystal system is orthorhombic. Its energy above the lowest structure with this stoichiometry is 1.09 eV/f.u.

***

| no. | uncorrected energy (eV/atom) | total magnetic moment (μB per cell) | volume (Å³/cell) |
| --- | --- | --- | --- |
| 1 | -6.98 | 0.0 | 110.7 |
| 2 | -7.03 | 0.0 | 230.5 |
| 3 | -7.04 | 0.0 | 124.7 |
| 4 | -6.87 | 0.0 | 125.5 |
| 5 | -6.83 | 0.0 | 54.6 |
| 6 | -6.84 | 0.0 | 54.7 |
| 7 | -7.01 | 0.0 | 223.2 |
| 8 | -6.87 | 0.0 | 141.9 |